Entry from Alexandria via LeMat-Bulk: an optimized crystal structure of TaBe4Ru (PBEsol).

Computed properties:
DOS at the Fermi energy in states/eV/cell: 1.716
Formation energy from the elements in eV/atom: -0.41

```
TaBe4Ru
1.0
0.0000 3.1196 3.1196
3.1196 0.0000 3.1196
3.1196 3.1196 0.0000
Ta Be Ru
1 4 1
Direct
0.0000 0.0000 0.0000
0.3741 0.3741 0.3741
0.3741 0.3741 0.8778
0.3741 0.8778 0.3741
0.8778 0.3741 0.3741
0.7500 0.7500 0.7500
```

***

Entry from Alexandria via LeMat-Bulk: an optimized crystal structure of TaBeRu2 (PBEsol).

Computed properties:
DOS at the Fermi energy in states/eV/cell: 2.728
Formation energy from the elements in eV/atom: -0.30

```
TaBeRu2
1.0
4.1282 0.0000 0.0000
0.0000 4.1282 0.0000
0.0000 0.0000 3.1268
Ta Be Ru
1 1 2
Direct
0.0000 0.0000 0.0000
0.5000 0.5000 0.0000
0.0000 0.5000 0.5000
0.5000 0.0000 0.5000
```

***

Entry from Alexandria via LeMat-Bulk: an optimized crystal structure of TaBeRu4 (PBEsol).

Computed properties:
DOS at the Fermi energy in states/eV/cell: 5.440
Formation energy from the elements in eV/atom: 0.29

```
TaBeRu4
1.0
0.0000 3.5148 3.5148
3.5148 0.0000 3.5148
3.5148 3.5148 0.0000
Ta Be Ru
1 1 4
Direct
0.0000 0.0000 0.0000
0.2500 0.2500 0.2500
0.1270 0.6243 0.6243
0.6243 0.1270 0.6243
0.6243 0.6243 0.1270
0.6243 0.6243 0.6243
```

***

| no. | uncorrected energy (eV per atom) |
| --- | --- |
| 1 | -6.865 |
| 2 | -9.522 |
| 3 | -9.249 |